1.
# KAg2Mo

KAg2Mo after structural relaxation (PBE-GGA, Alexandria).

Results
As for the space group: No. 99. The value obtained for the relative energy among the computed polymorphs is 94 meV per atom.

```
data_KAg2Mo
_chemical_formula_sum 'K1 Ag2 Mo1'
_space_group_name_H-M_alt 'P 1'
_space_group_IT_number 1
_cell_length_a 2.848
_cell_length_b 2.848
_cell_length_c 10.128
_cell_angle_alpha 90.00
_cell_angle_beta 90.00
_cell_angle_gamma 90.00
loop_
_space_group_symop_operation_xyz
'x,y,z'
loop_
_atom_site_label
_atom_site_fract_x
_atom_site_fract_y
_atom_site_fract_z
Ag1 0.000 0.000 0.000
Ag2 0.500 0.500 0.213
K1 0.000 0.000 0.497
Mo1 0.500 0.500 0.790
```

=====

2.
# Ca2InAu3

Ca2InAu3 after structural relaxation (PBE-GGA, Alexandria).

Results
As for the space group: No. 44. The value obtained for the relative energy among the computed polymorphs is 24 meV per atom.

```
data_Ca2InAu3
_chemical_formula_sum 'Ca2 In1 Au3'
_space_group_name_H-M_alt 'P 1'
_space_group_IT_number 1
_cell_length_a 4.208
_cell_length_b 4.017
_cell_length_c 9.574
_cell_angle_alpha 102.11
_cell_angle_beta 102.70
_cell_angle_gamma 90.00
loop_
_space_group_symop_operation_xyz
'x,y,z'
loop_
_atom_site_label
_atom_site_fract_x
_atom_site_fract_y
_atom_site_fract_z
Ca1 0.134 0.134 0.269
Ca2 0.850 0.350 0.700
In1 0.455 0.955 0.909
Au1 0.704 0.704 0.408
Au2 0.555 0.555 0.110
Au3 0.302 0.802 0.604
```

=====

3.
# HfMg3As

HfMg3As after structural relaxation (PBE-GGA, Alexandria).

Results
As for the space group: No. 221. The value obtained for the relative energy among the computed polymorphs is 903 meV per atom.

```
data_HfMg3As
_chemical_formula_sum 'Hf1 Mg3 As1'
_space_group_name_H-M_alt 'P 1'
_space_group_IT_number 1
_cell_length_a 5.516
_cell_length_b 5.516
_cell_length_c 5.516
_cell_angle_alpha 90.00
_cell_angle_beta 90.00
_cell_angle_gamma 90.00
loop_
_space_group_symop_operation_xyz
'x,y,z'
loop_
_atom_site_label
_atom_site_fract_x
_atom_site_fract_y
_atom_site_fract_z
As1 0.500 0.500 0.500
Hf1 0.000 0.000 0.000
Mg1 0.000 0.500 0.000
Mg2 0.000 0.000 0.500
Mg3 0.500 0.000 0.000
```

=====

4.
# LiPu2Ge3Au4

LiPu2Ge3Au4 after structural relaxation (PBE-GGA, Alexandria).

Results
The total energy is -61.2 eV for the cell shown. As for the space group: No. 115.

```
data_LiPu2Ge3Au4
_chemical_formula_sum 'Li1 Pu2 Ge3 Au4'
_space_group_name_H-M_alt 'P 1'
_space_group_IT_number 1
_cell_length_a 4.338
_cell_length_b 4.338
_cell_length_c 10.880
_cell_angle_alpha 90.00
_cell_angle_beta 90.00
_cell_angle_gamma 90.00
loop_
_space_group_symop_operation_xyz
'x,y,z'
loop_
_atom_site_label
_atom_site_fract_x
_atom_site_fract_y
_atom_site_fract_z
Li1 0.500 0.500 0.500
Pu1 0.500 0.000 0.240
Pu2 0.000 0.500 0.760
Ge1 0.000 0.000 0.500
Ge2 0.500 0.000 0.858
Ge3 0.000 0.500 0.142
Au1 0.500 0.500 0.000
Au2 0.000 0.000 0.000
Au3 0.500 0.000 0.628
Au4 0.000 0.500 0.372
```